VASP calculation (meta-GGA SCAN) on a PBEsol-optimized structure of BaSrPb2.

Properties
As for the space-group type: No. 65. For the formation energy, the calculation gives -0.71 eV/atom.

```
BaSrPb2
1.0
-1.2574 -0.5737 -3.4367
-4.7218 -3.2947 2.2776
-2.1165 5.8155 -0.1965
Pb Sr Ba
2 1 1
Cartesian
-2.3609 -1.6474 1.1388
-1.0582 2.9077 -0.0982
-0.6287 -0.2869 -1.7184
-4.0479 0.9735 -0.6778
```

=====

VASP calculation (meta-GGA SCAN) on a PBEsol-optimized structure of KNiNF2.

Properties
As for the space-group type: No. 123. The calculation puts the uncorrected formation energy at -26.8 kcal/mol of atoms. Its energy above the lowest structure with this stoichiometry is 0 meV per atom.

```
KNiNF2
1.0
3.4241 0.0000 0.0000
0.0000 4.2403 0.0000
0.0000 0.0000 4.2403
Ni K N F
1 1 1 2
Cartesian
0.0000 0.0000 0.0000
1.7121 2.1202 2.1202
1.7121 0.0000 0.0000
0.0000 0.0000 2.1202
0.0000 2.1202 0.0000
```

=====

VASP calculation (meta-GGA SCAN) on a PBEsol-optimized structure of Cd2HgBi.

Properties
As for the space-group type: No. 122. For the formation energy, the calculation gives 0.09 eV/atom. Its energy above the lowest structure with this stoichiometry is 25 meV per atom.

```
Cd2HgBi
1.0
4.3975 0.0000 0.0000
0.0000 4.3975 0.0000
-2.1988 -2.1988 10.5091
Cd Bi Hg
4 2 2
Cartesian
3.2183 1.0994 2.6273
1.1792 3.2982 2.6273
1.0994 1.0196 7.8819
-1.0994 -1.0196 7.8819
0.0000 2.1988 5.2546
0.0000 0.0000 0.0000
2.1988 0.0000 5.2546
2.1988 2.1988 0.0000
```

=====

VASP calculation (meta-GGA SCAN) on a PBEsol-optimized structure of CaTe2Mo.

Properties
As for the space-group type: No. 99. The calculation puts the uncorrected formation energy at -11.6 kcal/mol of atoms. Its energy above the lowest structure with this stoichiometry is 32 meV per atom.

```
CaTe2Mo
1.0
4.2188 0.0000 0.0000
0.0000 4.2188 0.0000
0.0000 0.0000 5.9484
Mo Te Ca
1 2 1
Cartesian
2.1094 2.1094 5.1755
0.0000 0.0000 5.2284
2.1094 2.1094 2.2052
0.0000 0.0000 2.2619
```

=====

VASP calculation (meta-GGA SCAN) on a PBEsol-optimized structure of CsMnTe2.

Properties
As for the space-group type: No. 122. The calculation puts the uncorrected formation energy at -18.2 kcal/mol of atoms.

```
CsMnTe2
1.0
-4.9048 4.6408 -2.6182
-0.5826 -6.3762 -3.3845
-1.1161 -1.0362 7.0803
Cs Te Mn
2 4 2
Cartesian
0.0000 0.0000 0.0000
-3.1684 -2.7207 -2.0774
-1.6033 -5.5636 0.1939
-5.4250 0.9390 1.8076
-2.8990 -2.1178 1.6737
-3.2799 1.1993 -1.5200
-0.8494 -3.7062 1.8479
-3.4352 -0.0507 3.1550
```

=====

VASP calculation (meta-GGA SCAN) on a PBEsol-optimized structure of CuSN2O.

Properties
As for the space-group type: No. 123. The calculation puts the uncorrected formation energy at 50.3 kcal/mol of atoms.

```
CuSN2O
1.0
-0.5041 -3.5983 0.9130
3.7121 -0.4776 0.1673
-0.0436 0.9139 3.5779
S O Cu N
1 1 1 2
Cartesian
-0.0218 0.4569 1.7889
0.0000 0.0000 0.0000
1.5822 -1.5810 2.3290
1.8560 -0.2388 0.0836
-0.2521 -1.7992 0.4565
```

=====

no.,total moment (μB/cell)
1,0.00
2,0.66
3,0.00
4,3.85
5,8.00
6,2.99